(1)
DFT (GGA-PBE) results for a relaxed ReTcB crystal.

Results
Energy above the lowest structure with this stoichiometry   0.000 eV per atom
Total moment   0.005 μB/f.u.

Lattice parameters (Å, degrees): 5.6030 5.6030 5.6030 90.00 90.00 90.00
Closest atoms and distances in Å follow each position.
Space group F-43m (No. 216)
Inequivalent atoms, fractional coordinates:
1 Re 0.0000 0.0000 0.0000  4 Tc 2.43, 4 B 2.43
2 Tc 0.2500 0.2500 0.2500  4 Re 2.43
3 B 0.2500 0.2500 0.7500  4 Re 2.43

(2)
DFT (GGA-PBE) results for a relaxed ZnInGaSe2S2 crystal.

Results
Total energy   -53.6 eV per cell

Lattice parameters (Å, degrees): 7.9064 10.8408 5.6597 90.00 134.10 90.00
Closest atoms and distances in Å follow each position.
Space group C2 (No. 5)
Inequivalent atoms, fractional coordinates:
1 Zn 0.0000 0.0000 0.0000  2 S 2.37, 2 Se 2.49
2 In 0.0000 0.5029 0.0000  2 S 2.51, 2 Se 2.62
3 Ga 0.0000 0.7600 0.5000  2 S 2.32, 2 Se 2.44
4 Se 0.2250 0.1439 0.4776  1 Ga 2.44, 1 Zn 2.49, 1 In 2.62
5 S 0.2353 0.8696 0.9902  1 Ga 2.32, 1 Zn 2.37, 1 In 2.51

(3)
DFT (GGA-PBE) results for a relaxed TbNdAg2Bi4 crystal.

Results
Total moment   0.006 μB/f.u.
Total energy   -35.2 eV per cell

Lattice parameters (Å, degrees): 4.5776 4.5776 10.4108 90.00 90.00 90.00
Closest atoms and distances in Å follow each position.
Space group P4mm (No. 99)
Inequivalent atoms, fractional coordinates:
1 Tb 0.0000 0.0000 0.0000  8 Bi 3.30-3.43, 4 Ag 3.44
2 Nd 0.5000 0.5000 0.4961  8 Bi 3.32-3.47, 4 Ag 3.52
3 Ag 0.0000 0.5000 0.7535  4 Bi 3.00-3.01, 4 Ag 3.24
4 Bi 0.0000 0.0000 0.5650  4 Ag 3.01, 4 Nd 3.32
5 Bi 0.0000 0.5000 0.2453  4 Bi 3.24, 2 Tb 3.43, 2 Nd 3.47
6 Bi 0.5000 0.5000 0.9397  4 Ag 3.00, 4 Tb 3.30

(4)
DFT (GGA-PBE) results for a relaxed HfIn2Os crystal.

Results
Total moment   0.001 μB/f.u.
Total energy   -104.4 eV per cell

Lattice parameters (Å, degrees): 6.7225 6.7225 6.7225 90.00 90.00 90.00
Closest atoms and distances in Å follow each position.
Space group F-43m (No. 216)
Inequivalent atoms, fractional coordinates:
1 Hf 0.0000 0.0000 0.0000  4 In 2.91, 4 Os 2.91
2 In 0.0000 0.0000 0.5000  4 In 2.91, 4 Os 2.91
3 In 0.2500 0.2500 0.2500  4 Hf 2.91, 4 In 2.91
4 Os 0.2500 0.2500 0.7500  4 Hf 2.91, 4 In 2.91

(5)
DFT (GGA-PBE) results for a relaxed NbRePd2 crystal.

Results
Calculated formation energy   0.375 eV per formula unit
Total moment   0.009 μB/f.u.

Lattice parameters (Å, degrees): 6.3211 6.3211 6.3211 90.00 90.00 90.00
Closest atoms and distances in Å follow each position.
Space group F-43m (No. 216)
Inequivalent atoms, fractional coordinates:
1 Nb 0.0000 0.0000 0.0000  4 Pd 2.74, 4 Re 2.74
2 Re 0.2500 0.2500 0.2500  4 Nb 2.74, 4 Pd 2.74
3 Pd 0.0000 0.0000 0.5000  4 Re 2.74, 4 Pd 2.74
4 Pd 0.2500 0.2500 0.7500  4 Pd 2.74, 4 Nb 2.74

(6)
DFT (GGA-PBE) results for a relaxed LiTeOs crystal.

Results
Energy above the lowest structure with this stoichiometry   0.000 eV per atom
Total moment   0.005 μB/f.u.

Lattice parameters (Å, degrees): 6.0777 6.0777 6.0777 90.00 90.00 90.00
Closest atoms and distances in Å follow each position.
Space group F-43m (No. 216)
Inequivalent atoms, fractional coordinates:
1 Li 0.0000 0.0000 0.0000  4 Os 2.63
2 Te 0.0000 0.0000 0.5000  4 Os 2.63
3 Os 0.2500 0.2500 0.2500  4 Li 2.63, 4 Te 2.63